A plane-wave DFT calculation with GGA-PBE was carried out for a relaxed structure of Th5MgSe6.

Lattice parameters (Å, degrees): 7.2026 12.3440 7.2766 90.00 108.78 90.00
Closest atoms and distances in Å follow each position.
Space group C2/m (No. 12)
Inequivalent atoms, fractional coordinates:
Th: 0.0000 0.0000 0.0000 x2  6 Se 2.98-3.08
Th: 0.0000 0.1643 0.5000 x4  6 Se 2.95-2.99
Th: 0.0000 0.3218 0.0000 x4  6 Se 2.96-3.07
Mg: 0.0000 0.5000 0.5000 x2  6 Se 2.72-2.81
Se: 0.2293 0.3451 0.7301 x8  1 Mg 2.72, 4 Th 2.95-2.98
Se: 0.2286 0.5000 0.2518 x4  1 Mg 2.81, 5 Th 2.99-3.08

Values from the calculation:
VASP energy, eV/cell: -153.65
Total moment, μB/cell: 0.0
N(E_F), states/eV/atom: 0.622
Uncorrected formation energy, eV per atom: -1.435